Density functional theory data (PBE-GGA) for an optimized crystal structure of CeNd3Tl4Se8.

abc: 9.2215 9.2215 9.2215
angles: 56.09 56.09 56.09
Fractional positions:
Ce1 0.0000 0.0000 0.0000
Nd1 0.0000 0.5000 0.5000
Nd2 0.5000 0.0000 0.5000
Nd3 0.5000 0.5000 0.0000
Tl1 0.0000 0.0000 0.5000
Tl2 0.0000 0.5000 0.0000
Tl3 0.5000 0.0000 0.0000
Tl4 0.5000 0.5000 0.5000
Se1 0.2368 0.2368 0.7367
Se2 0.2368 0.7367 0.2368
Se3 0.2631 0.2631 0.2631
Se4 0.2633 0.7632 0.7632
Se5 0.7367 0.2368 0.2368
Se6 0.7369 0.7369 0.7369
Se7 0.7632 0.2633 0.7632
Se8 0.7632 0.7632 0.2633

Output
Its space group is R-3m (166). Its crystal system is trigonal. The value obtained for the energy relative to the elements, uncorrected is -31.43 kcal/mol of atoms.


Density functional theory data (PBE-GGA) for an optimized crystal structure of H2PdI.

abc: 4.1729 4.1729 4.1729
angles: 60.00 60.00 60.00
Fractional positions:
H1 0.2500 0.2500 0.2500
H2 0.7500 0.7500 0.7500
Pd1 0.0000 0.0000 0.0000
I1 0.5000 0.5000 0.5000

Output
The energy relative to the lowest polymorph listed for this composition is 0.667 eV/atom. Its space group is Fm-3m (225). Its crystal system is cubic.


Density functional theory data (PBE-GGA) for an optimized crystal structure of ZnCrGa2Cl.

abc: 4.7729 4.7729 4.9341
angles: 90.00 90.00 90.00
Fractional positions:
Zn1 0.0000 0.0000 0.0000
Cr1 0.0000 0.0000 0.5000
Ga1 0.0000 0.5000 0.0000
Ga2 0.5000 0.0000 0.0000
Cl1 0.5000 0.5000 0.5000

Output
Its space group is P4/mmm (123). Its crystal system is tetragonal. The value obtained for the energy relative to the elements, uncorrected is 19.28 kcal/mol of atoms.


Density functional theory data (PBE-GGA) for an optimized crystal structure of CsBi3Au.

abc: 6.3390 6.3390 6.3390
angles: 90.00 90.00 90.00
Fractional positions:
Cs1 0.0000 0.0000 0.0000
Bi1 0.0000 0.0000 0.5000
Bi2 0.0000 0.5000 0.0000
Bi3 0.5000 0.0000 0.0000
Au1 0.5000 0.5000 0.5000

Output
The energy relative to the lowest polymorph listed for this composition is 1.805 eV/atom. Its space group is Pm-3m (221). For the formation energy, the calculation gives 1.638 eV per atom. Its crystal system is cubic.


Density functional theory data (PBE-GGA) for an optimized crystal structure of TaSnS.

abc: 3.2644 3.2644 6.9234
angles: 90.00 90.00 120.00
Fractional positions:
Ta1 0.0000 0.0000 0.0000
Sn1 0.3333 0.6667 0.6517
S1 0.6667 0.3333 0.2223

Output
The energy relative to the lowest polymorph listed for this composition is 0.000 eV/atom. Its space group is P3m1 (156). Its crystal system is trigonal. The value obtained for the energy relative to the elements, uncorrected is -9.59 kcal/mol of atoms.


Density functional theory data (PBE-GGA) for an optimized crystal structure of BaCd2CuCl8.

abc: 6.2851 6.8584 8.6100
angles: 82.84 85.31 82.98
Fractional positions:
Ba1 0.0000 0.0000 0.0000
Cd1 0.4415 0.4627 0.6971
Cd2 0.5585 0.5373 0.3029
Cu1 0.0000 0.0000 0.5000
Cl1 0.2017 0.8259 0.6978
Cl2 0.2318 0.8698 0.3069
Cl3 0.2731 0.3564 0.4662
Cl4 0.3174 0.3236 0.9612
Cl5 0.6826 0.6764 0.0388
Cl6 0.7269 0.6436 0.5338
Cl7 0.7682 0.1302 0.6931
Cl8 0.7983 0.1741 0.3022

Output
Its space group is P-1 (2). Its crystal system is triclinic. The value obtained for the energy relative to the elements, uncorrected is -28.23 kcal/mol of atoms.


Density functional theory data (PBE-GGA) for an optimized crystal structure of MgNF2.

abc: 3.9038 3.9038 3.9038
angles: 60.00 60.00 60.00
Fractional positions:
Mg1 0.0000 0.0000 0.0000
N1 0.5000 0.5000 0.5000
F1 0.2500 0.2500 0.2500
F2 0.7500 0.7500 0.7500

Output
The energy relative to the lowest polymorph listed for this composition is 0.483 eV/atom. Its space group is Fm-3m (225). Its crystal system is cubic. The value obtained for the energy relative to the elements, uncorrected is -17.94 kcal/mol of atoms.


Density functional theory data (PBE-GGA) for an optimized crystal structure of Ce4AlZn2.

abc: 5.5505 5.5505 10.3660
angles: 101.89 101.89 31.86
Fractional positions:
Ce1 0.1300 0.1300 0.2765
Ce2 0.2038 0.2038 0.8726
Ce3 0.7962 0.7962 0.1274
Ce4 0.8700 0.8700 0.7235
Al1 0.5000 0.5000 0.0000
Zn1 0.1142 0.1142 0.5729
Zn2 0.8858 0.8858 0.4271

Output
The energy relative to the lowest polymorph listed for this composition is 0.088 eV/atom. Its space group is C2/m (12). For the formation energy, the calculation gives -0.007 eV per atom. Its crystal system is monoclinic.